Record 1
The following is a DFT calculation (PBE-GGA) of an optimized crystal structure of Mg3HgBr8.

Unit cell a=7.899 b=7.899 c=8.420 alpha=118.85 beta=118.85 gamma=59.95
Element x y z (fractional)
Mg (0.000, 0.000, 0.000)
Mg (0.000, 0.500, 0.000)
Mg (0.500, 0.000, 0.000)
Hg (0.500, 0.500, 0.000)
Br (0.227, 0.750, 0.221)
Br (0.240, 0.240, 0.214)
Br (0.250, 0.250, 0.779)
Br (0.250, 0.773, 0.779)
Br (0.750, 0.227, 0.221)
Br (0.750, 0.750, 0.221)
Br (0.760, 0.760, 0.786)
Br (0.773, 0.250, 0.779)

Properties
energy relative to the elements, uncorrected: -1.21 eV per atom
space-group type: C2/m, No. 12
V: 31.47 Å³ per atom

---

Record 2
The following is a DFT calculation (PBE-GGA) of an optimized crystal structure of Ti2Al5CuRh2.

Unit cell a=8.862 b=8.862 c=3.991 alpha=90.00 beta=90.00 gamma=90.00
Element x y z (fractional)
Ti (0.177, 0.323, 0.000)
Ti (0.323, 0.823, 0.000)
Ti (0.677, 0.177, 0.000)
Ti (0.823, 0.677, 0.000)
Al (0.000, 0.500, 0.500)
Al (0.068, 0.798, 0.500)
Al (0.202, 0.068, 0.500)
Al (0.298, 0.568, 0.500)
Al (0.432, 0.298, 0.500)
Al (0.500, 0.000, 0.500)
Al (0.568, 0.702, 0.500)
Al (0.702, 0.432, 0.500)
Al (0.798, 0.932, 0.500)
Al (0.932, 0.202, 0.500)
Cu (0.000, 0.000, 0.000)
Cu (0.500, 0.500, 0.000)
Rh (0.120, 0.620, 0.000)
Rh (0.380, 0.120, 0.000)
Rh (0.620, 0.880, 0.000)
Rh (0.880, 0.380, 0.000)

Properties
space-group type: P4/mbm, No. 127
V: 15.67 Å³ per atom
formation enthalpy at 0 K: -0.53 eV per atom

---

Record 3
The following is a DFT calculation (PBE-GGA) of an optimized crystal structure of AcCd2Hg.

Unit cell a=4.719 b=4.719 c=5.272 alpha=90.00 beta=90.00 gamma=90.00
Element x y z (fractional)
Ac (0.000, 0.000, 0.000)
Cd (0.000, 0.500, 0.500)
Cd (0.500, 0.000, 0.500)
Hg (0.500, 0.500, 0.000)

Properties
energy above the lowest structure with this stoichiometry: 0.092 eV per atom
space-group type: P4/mmm, No. 123
V: 29.35 Å³ per atom
formation enthalpy at 0 K: -0.25 eV per atom

---

Record 4
The following is a DFT calculation (PBE-GGA) of an optimized crystal structure of BaCrCu3Se4.

Unit cell a=6.179 b=6.179 c=6.179 alpha=90.00 beta=90.00 gamma=90.00
Element x y z (fractional)
Ba (0.000, 0.000, 0.000)
Cr (0.500, 0.500, 0.500)
Cu (0.000, 0.500, 0.500)
Cu (0.500, 0.000, 0.500)
Cu (0.500, 0.500, 0.000)
Se (0.281, 0.281, 0.719)
Se (0.281, 0.719, 0.281)
Se (0.719, 0.281, 0.281)
Se (0.719, 0.719, 0.719)

Properties
energy relative to the elements, uncorrected: -0.47 eV per atom
space-group type: P-43m, No. 215
V: 26.21 Å³ per atom

---

Record 5
The following is a DFT calculation (PBE-GGA) of an optimized crystal structure of AcBeZnCu6.

Unit cell a=8.331 b=8.331 c=8.331 alpha=135.45 beta=125.84 gamma=72.65
Element x y z (fractional)
Ac (0.339, 0.089, 0.250)
Ac (0.661, 0.911, 0.750)
Be (0.000, 0.000, 0.500)
Be (0.000, 0.500, 0.000)
Zn (0.000, 0.500, 0.500)
Zn (0.500, 0.500, 0.000)
Cu (0.109, 0.859, 0.250)
Cu (0.127, 0.465, 0.276)
Cu (0.127, 0.851, 0.662)
Cu (0.311, 0.149, 0.776)
Cu (0.311, 0.535, 0.162)
Cu (0.386, 0.636, 0.750)
Cu (0.614, 0.364, 0.250)
Cu (0.689, 0.465, 0.838)
Cu (0.689, 0.851, 0.224)
Cu (0.873, 0.149, 0.338)
Cu (0.873, 0.535, 0.724)
Cu (0.891, 0.141, 0.750)

Properties
space-group type: Imma, No. 74
V: 17.86 Å³ per atom
formation enthalpy at 0 K: 0.19 eV per atom

---

Record 6
The following is a DFT calculation (PBE-GGA) of an optimized crystal structure of YSiTc2.

Unit cell a=4.389 b=4.389 c=3.407 alpha=90.00 beta=90.00 gamma=90.00
Element x y z (fractional)
Y (0.000, 0.000, 0.000)
Si (0.500, 0.500, 0.000)
Tc (0.000, 0.500, 0.500)
Tc (0.500, 0.000, 0.500)

Properties
energy relative to the elements, uncorrected: 0.02 eV per atom
space-group type: P4/mmm, No. 123
V: 16.41 Å³ per atom

---

Record 7
The following is a DFT calculation (PBE-GGA) of an optimized crystal structure of Nd2Al4IrAu3.

Unit cell a=4.344 b=4.344 c=10.601 alpha=90.00 beta=90.00 gamma=90.00
Element x y z (fractional)
Nd (0.000, 0.500, 0.244)
Nd (0.500, 0.000, 0.756)
Al (0.000, 0.000, 0.500)
Al (0.000, 0.500, 0.875)
Al (0.500, 0.000, 0.125)
Al (0.500, 0.500, 0.500)
Ir (0.500, 0.500, 0.000)
Au (0.000, 0.000, 0.000)
Au (0.000, 0.500, 0.636)
Au (0.500, 0.000, 0.364)

Properties
space-group type: P-4m2, No. 115
V: 20.01 Å³ per atom
formation enthalpy at 0 K: -0.75 eV per atom

---

Record 8
The following is a DFT calculation (PBE-GGA) of an optimized crystal structure of MgCo2WSe.

Unit cell a=4.410 b=4.410 c=5.323 alpha=90.00 beta=90.00 gamma=90.00
Element x y z (fractional)
Mg (0.000, 0.000, 0.000)
Co (0.000, 0.500, 0.500)
Co (0.500, 0.000, 0.500)
W (0.000, 0.000, 0.500)
Se (0.500, 0.500, 0.000)

Properties
energy relative to the elements, uncorrected: 1.36 eV per atom
space-group type: P4/mmm, No. 123
V: 20.71 Å³ per atom

---

Copy entry 3 word for word.
The following is a DFT calculation (PBE-GGA) of an optimized crystal structure of AcCd2Hg.

Unit cell a=4.719 b=4.719 c=5.272 alpha=90.00 beta=90.00 gamma=90.00
Element x y z (fractional)
Ac (0.000, 0.000, 0.000)
Cd (0.000, 0.500, 0.500)
Cd (0.500, 0.000, 0.500)
Hg (0.500, 0.500, 0.000)

Properties
energy above the lowest structure with this stoichiometry: 0.092 eV per atom
space-group type: P4/mmm, No. 123
V: 29.35 Å³ per atom
formation enthalpy at 0 K: -0.25 eV per atom